No. 1
The following is a GGA-PBEsol calculation of a relaxed SrLiNi2 crystal, from Alexandria via LeMat-Bulk.

a b c (Å): 4.092 4.109 4.895
angles (deg): 114.82 114.71 90.00
Positions (direct):
Li: 0.000 0.500 0.000
Ni: 0.750 0.750 0.499
Ni: 0.250 0.250 0.501
Sr: 0.500 0.000 0.000

Calculated values
ΔH_f (0 K)	376	meV per atom
energy above the most stable polymorph in this dataset	1.33	eV per formula unit

***

No. 2
The following is a GGA-PBEsol calculation of a relaxed AgIrW2 crystal, from Alexandria via LeMat-Bulk.

a b c (Å): 2.734 2.734 8.194
angles (deg): 90.00 90.00 90.00
Positions (direct):
Ir: 0.500 0.500 0.500
Ag: 0.500 0.500 0.000
W: 0.000 0.000 0.737
W: 0.000 0.000 0.263

Calculated values
ΔH_f (0 K)	230	meV per atom
energy above the most stable polymorph in this dataset	0.00	eV per formula unit

***

No. 3
The following is a GGA-PBEsol calculation of a relaxed CdRuBr2 crystal, from Alexandria via LeMat-Bulk.

a b c (Å): 2.999 2.999 10.954
angles (deg): 82.13 82.13 60.00
Positions (direct):
Ru: 0.000 0.000 0.000
Br: 0.928 0.928 0.217
Br: 0.072 0.072 0.783
Cd: 0.500 0.500 0.500

Calculated values
formation energy (no corrections)	0.383	eV/atom
energy above the most stable polymorph in this dataset	1.11	eV per formula unit

***

No. 4
The following is a GGA-PBEsol calculation of a relaxed MgTcHg2 crystal, from Alexandria via LeMat-Bulk.

a b c (Å): 3.094 4.866 4.866
angles (deg): 104.40 90.00 90.00
Last column: magnetic moment on the atom in μB.
Positions (direct):
Hg: 0.000 0.500 0.000  -0.01
Hg: 0.000 0.000 0.500  -0.01
Mg: 0.500 0.000 0.000  0.00
Tc: 0.500 0.500 0.500  0.66

Calculated values
ΔH_f (0 K)	234	meV per atom

***

No. 5
The following is a GGA-PBEsol calculation of a relaxed Ag2PtW crystal, from Alexandria via LeMat-Bulk.

a b c (Å): 2.750 3.946 5.875
angles (deg): 90.00 89.97 90.00
Positions (direct):
Ag: 0.000 0.000 0.004
Ag: 0.499 0.500 0.243
W: 0.500 0.500 0.724
Pt: 0.000 0.000 0.528

Calculated values
ΔH_f (0 K)	198	meV per atom
energy above the most stable polymorph in this dataset	0.43	eV per formula unit

***

No. 6
The following is a GGA-PBEsol calculation of a relaxed CeMgB5O10 crystal, from Alexandria via LeMat-Bulk.

a b c (Å): 7.605 8.736 9.451
angles (deg): 87.35 90.00 90.00
Last column: magnetic moment on the atom in μB.
Positions (direct):
Ce: 0.813 0.184 0.764  0.97
Ce: 0.187 0.816 0.236  0.97
Ce: 0.313 0.316 0.736  0.97
Ce: 0.687 0.684 0.264  0.97
Mg: 0.088 0.894 0.624  0.00
Mg: 0.912 0.106 0.376  0.00
Mg: 0.588 0.606 0.876  0.00
Mg: 0.412 0.394 0.124  0.00
B: 0.171 0.015 0.890  0.00
B: 0.829 0.985 0.110  0.00
B: 0.671 0.485 0.610  0.00
B: 0.329 0.515 0.390  0.00
B: 0.418 0.913 0.733  0.00
B: 0.582 0.087 0.267  0.00
B: 0.918 0.587 0.767  0.00
B: 0.082 0.413 0.233  0.00
B: 0.187 0.570 0.915  0.00
B: 0.813 0.430 0.085  0.00
B: 0.687 0.930 0.585  0.00
B: 0.313 0.070 0.415  0.00
B: 0.532 0.281 0.448  0.00
B: 0.468 0.719 0.552  0.00
B: 0.032 0.219 0.052  0.00
B: 0.968 0.781 0.948  0.00
B: 0.404 0.848 0.994  0.00
B: 0.596 0.152 0.006  0.00
B: 0.904 0.652 0.506  0.00
B: 0.096 0.348 0.494  0.00
O: 0.082 0.510 0.812  0.00
O: 0.918 0.490 0.188  0.00
O: 0.582 0.990 0.688  0.00
O: 0.418 0.010 0.312  0.00
O: 0.128 0.689 0.991  0.00
O: 0.872 0.311 0.009  0.00
O: 0.628 0.811 0.509  0.00
O: 0.372 0.189 0.491  0.00
O: 0.604 0.329 0.586  0.00
O: 0.396 0.671 0.414  0.00
O: 0.104 0.171 0.914  0.00
O: 0.896 0.829 0.086  0.00
O: 0.280 0.028 0.760  0.00
O: 0.720 0.972 0.240  0.00
O: 0.780 0.472 0.740  0.00
O: 0.220 0.528 0.260  0.00
O: 0.350 0.503 0.930  0.00
O: 0.650 0.497 0.070  0.00
O: 0.850 0.997 0.570  0.00
O: 0.150 0.003 0.430  0.00
O: 0.223 0.460 0.511  0.00
O: 0.777 0.540 0.489  0.00
O: 0.723 0.040 0.989  0.00
O: 0.277 0.960 0.011  0.00
O: 0.346 0.816 0.626  0.00
O: 0.654 0.184 0.374  0.00
O: 0.846 0.684 0.874  0.00
O: 0.154 0.316 0.126  0.00
O: 0.463 0.816 0.862  0.00
O: 0.537 0.184 0.138  0.00
O: 0.963 0.684 0.638  0.00
O: 0.037 0.316 0.362  0.00
O: 0.039 0.268 0.612  -0.01
O: 0.961 0.732 0.388  -0.01
O: 0.539 0.232 0.888  -0.01
O: 0.461 0.768 0.112  -0.01
O: 0.024 0.913 0.854  0.00
O: 0.976 0.087 0.146  0.00
O: 0.524 0.587 0.646  0.00
O: 0.476 0.413 0.354  0.00

Calculated values
formation energy (no corrections)	-2.700	eV/atom

***

No. 7
The following is a GGA-PBEsol calculation of a relaxed AsPt5 crystal, from Alexandria via LeMat-Bulk.

a b c (Å): 4.477 5.162 5.162
angles (deg): 120.00 90.00 90.00
Positions (direct):
As: 0.000 0.000 0.000
Pt: 0.000 0.667 0.333
Pt: 0.000 0.333 0.667
Pt: 0.500 0.500 0.500
Pt: 0.500 0.000 0.500
Pt: 0.500 0.500 0.000

Calculated values
ΔH_f (0 K)	313	meV per atom

***

No. 8
The following is a GGA-PBEsol calculation of a relaxed CaCuPC2 crystal, from Alexandria via LeMat-Bulk.

a b c (Å): 3.876 3.876 4.738
angles (deg): 90.00 90.00 90.00
Positions (direct):
P: 0.000 0.000 0.500
Ca: 0.500 0.500 0.500
C: 0.000 0.500 0.000
C: 0.500 0.000 0.000
Cu: 0.000 0.000 0.000

Calculated values
ΔH_f (0 K)	1373	meV per atom

***

no.,energy (eV/atom)
1,-3.65
2,-9.96
3,-3.39
4,-3.30
5,-6.65
6,-8.34
7,-6.34
8,-4.94